# CoCuGe2O6 | Alexandria | PBE with a Hubbard U | relaxed
# Total magnetization, μB per formula unit: 4.02
# E_tot, eV/cell: -243.45
data_CoCuGe2O6
_cell_length_a 10.1274
_cell_length_b 9.1742
_cell_length_c 5.3987
_cell_angle_alpha 90.00
_cell_angle_beta 108.58
_cell_angle_gamma 90.00
_symmetry_space_group_name_H-M 'C 1 2/c 1'
_symmetry_Int_Tables_number 15
loop_
_symmetry_equiv_pos_as_xyz
'x,y,z'
'-x,-y,-z'
'-x,y,-z+1/2'
'x,-y,z+1/2'
'x+1/2,y+1/2,z'
'-x+1/2,-y+1/2,-z'
'-x+1/2,y+1/2,-z+1/2'
'x+1/2,-y+1/2,z+1/2'
loop_
_atom_site_label
_atom_site_fract_x
_atom_site_fract_y
_atom_site_fract_z
Co1 0.0000 0.0936 0.2500
Cu1 0.0000 0.2485 0.7500
Ge1 0.1976 0.4091 0.2432
O1 0.1173 0.0855 0.6386
O2 0.1193 0.2444 0.1052
O3 0.1365 0.4457 0.5134